BaLi2Sc | GGA-PBE | relaxed

Unit cell a=5.646 b=5.646 c=3.652 alpha=90.00 beta=90.00 gamma=90.33
Atoms (fractional coordinates):
Ba 0.000 0.000 0.000
Li 0.000 0.500 0.500
Li 0.500 0.000 0.500
Sc 0.500 0.500 0.000

Values from the calculation:
* SG: Cmmm, No. 65
* total magnetization: 0.0000 μB/atom
* ΔH_f (0 K): 0.2873 eV per atom
* density of states at the Fermi level: 5.93 states/eV per cell
* crystal system: orthorhombic
* calculated volume: 116 Å³ per cell
* total DFT energy (no corrections): -2.733 eV per atom